Record 1
# P2Pb2Se7, relaxed, DFT PBE
data_P2Pb2Se7
_chemical_formula_sum 'P4 Pb4 Se14'
_space_group_name_H-M_alt 'P 1 21/c 1'
_space_group_IT_number 14
_cell_length_a 5.161
_cell_length_b 14.377
_cell_length_c 8.844
_cell_angle_alpha 90.00
_cell_angle_beta 102.81
_cell_angle_gamma 90.00
loop_
_space_group_symop_operation_xyz
'x,y,z'
'-x,-y,-z'
'-x,y+1/2,-z+1/2'
'x,-y+1/2,z+1/2'
loop_
_atom_site_label
_atom_site_type_symbol
_atom_site_fract_x
_atom_site_fract_y
_atom_site_fract_z
_atom_site_occupancy
P1 P 0.221 0.106 0.146 1
Pb1 Pb 0.329 0.665 0.992 1
Se1 Se 0.152 0.050 0.371 1
Se2 Se 0.162 0.629 0.537 1
Se3 Se 0.343 0.246 0.716 1
Se4 Se 0.500 0.000 0.000 1
# Formation energy (no corrections) in eV per formula unit: -2.136
# Total magnetization in μB/f.u.: 0.00
# Calculated volume in Å³/f.u.: 319.9

Record 2
# P2PbSe2, relaxed, DFT PBE
data_P2PbSe2
_chemical_formula_sum 'P4 Pb2 Se4'
_space_group_name_H-M_alt 'I 4/m m m'
_space_group_IT_number 139
_space_group_name_Hall '-I 4 2'
_cell_length_a 5.297
_cell_length_b 5.297
_cell_length_c 8.037
_cell_angle_alpha 90.00
_cell_angle_beta 90.00
_cell_angle_gamma 90.00
loop_
_atom_site_label
_atom_site_type_symbol
_atom_site_fract_x
_atom_site_fract_y
_atom_site_fract_z
_atom_site_occupancy
P1 P 0.000 0.000 0.133 1
Pb1 Pb 0.000 0.000 0.500 1
Se1 Se 0.000 0.500 0.250 1
# Formation energy (no corrections) in eV per formula unit: 1.332
# Total magnetization in μB/f.u.: 0.00
# Excess energy over the best structure of this formula in the dataset in eV per atom: 0.151
# DOS(E_F) in states/eV/cell: 6.30
# Calculated volume in Å³/f.u.: 112.7

Record 3
# P3Pb2Se2, relaxed, DFT PBE
data_P3Pb2Se2
_chemical_formula_sum 'P9 Pb6 Se6'
_space_group_name_H-M_alt 'R -3 m'
_space_group_IT_number 166
_space_group_name_Hall '-R 3 2"'
_cell_length_a 6.1268
_cell_length_b 6.1268
_cell_length_c 15.2607
_cell_angle_alpha 90.00
_cell_angle_beta 90.00
_cell_angle_gamma 120.00
loop_
_atom_site_label
_atom_site_type_symbol
_atom_site_fract_x
_atom_site_fract_y
_atom_site_fract_z
_atom_site_occupancy
P1 P 0.0000 0.5000 0.0000 1
Pb1 Pb 0.0000 0.0000 0.0000 1
Pb2 Pb 0.0000 0.0000 0.5000 1
Se1 Se 0.0000 0.0000 0.2083 1
# Formation energy (no corrections) in eV per formula unit: 2.002
# Total magnetization in μB/f.u.: 0.00
# DOS(E_F) in states/eV/cell: 10.66
# Calculated volume in Å³/f.u.: 165.4

Record 4
# P6PbSe8, relaxed, DFT PBE
data_P6PbSe8
_chemical_formula_sum 'P18 Pb3 Se24'
_space_group_name_H-M_alt 'R -3'
_space_group_IT_number 148
_space_group_name_Hall '-R 3'
_cell_length_a 9.2305
_cell_length_b 9.2305
_cell_length_c 18.6998
_cell_angle_alpha 90.00
_cell_angle_beta 90.00
_cell_angle_gamma 120.00
loop_
_atom_site_label
_atom_site_type_symbol
_atom_site_fract_x
_atom_site_fract_y
_atom_site_fract_z
_atom_site_occupancy
P1 P 0.0281 0.7684 0.3487 1
Pb1 Pb 0.0000 0.0000 0.0000 1
Se1 Se 0.0000 0.0000 0.3014 1
Se2 Se 0.0303 0.7447 0.9158 1
# Formation energy (no corrections) in eV per formula unit: 0.629
# Total magnetization in μB/f.u.: 0.00
# DOS(E_F) in states/eV/cell: 21.63
# Calculated volume in Å³/f.u.: 459.9

Record 5
# Si2PPbSe, relaxed, DFT PBE
data_Si2PPbSe
_chemical_formula_sum 'Si2 P1 Pb1 Se1'
_space_group_name_H-M_alt 'P 4/m m m'
_space_group_IT_number 123
_space_group_name_Hall '-P 4 2'
_cell_length_a 5.401
_cell_length_b 5.401
_cell_length_c 5.082
_cell_angle_alpha 90.00
_cell_angle_beta 90.00
_cell_angle_gamma 90.00
loop_
_atom_site_label
_atom_site_type_symbol
_atom_site_fract_x
_atom_site_fract_y
_atom_site_fract_z
_atom_site_occupancy
Si1 Si 0.000 0.500 0.000 1
P1 P 0.000 0.000 0.500 1
Pb1 Pb 0.000 0.000 0.000 1
Se1 Se 0.500 0.500 0.500 1
# Formation energy (no corrections) in eV per formula unit: 7.585
# Total magnetization in μB/f.u.: 1.01
# DOS(E_F) in states/eV/cell: 4.40
# Calculated volume in Å³/f.u.: 148.2

Record 6
# Sm4PPb2Se, relaxed, DFT PBE
data_Sm4PPb2Se
_chemical_formula_sum 'Sm4 P1 Pb2 Se1'
_space_group_name_H-M_alt 'P 1 2/m 1'
_space_group_IT_number 10
_cell_length_a 7.075
_cell_length_b 4.097
_cell_length_c 8.230
_cell_angle_alpha 90.00
_cell_angle_beta 106.87
_cell_angle_gamma 90.00
loop_
_space_group_symop_operation_xyz
'x,y,z'
'-x,-y,-z'
'-x,y,-z'
'x,-y,z'
loop_
_atom_site_label
_atom_site_type_symbol
_atom_site_fract_x
_atom_site_fract_y
_atom_site_fract_z
_atom_site_occupancy
Sm1 Sm 0.230 0.000 0.208 1
Sm2 Sm 0.253 0.500 0.786 1
P1 P 0.000 0.500 0.000 1
Pb1 Pb 0.000 0.000 0.500 1
Pb2 Pb 0.500 0.500 0.500 1
Se1 Se 0.500 0.000 0.000 1
# Formation energy (no corrections) in eV per formula unit: -8.868
# Total magnetization in μB/f.u.: 0.00
# DOS(E_F) in states/eV/cell: 2.91
# Calculated volume in Å³/f.u.: 228.3